Mg8AlIn2 (PBE, relaxed); density of states at the Fermi level = 3.65 states/eV per cell; formation energy = 0.34 eV/f.u.; mass density = 2.9 Mg/m³
1.0
4.071 -6.708 0.000
4.071 6.708 0.000
-2.075 0.000 4.748
Mg Al In
8 1 2
Direct
0.093 0.315 0.621
0.211 0.789 0.000
0.315 0.093 0.621
0.387 0.387 0.188
0.613 0.613 0.812
0.685 0.907 0.379
0.789 0.211 0.000
0.907 0.685 0.379
0.000 0.000 0.000
0.306 0.694 0.500
0.694 0.306 0.500